The following is a DFT calculation (PBE) of a relaxed structure of RbCa2Os2.

- Density: 7.05 Mg/m³
- Energy above the most stable polymorph in this dataset: 0.0000 eV per atom
- Fermi-level density of states: 1.350 states/eV per atom
- Energy of formation: 772 meV/atom
- Size of the total moment: 0.191 μB/atom

Geometry as CIF:
```
data_RbCa2Os2
_chemical_formula_sum 'Rb2 Ca4 Os4'
_cell_length_a 9.0337
_cell_length_b 9.0337
_cell_length_c 3.1544
_cell_angle_alpha 90.00
_cell_angle_beta 90.00
_cell_angle_gamma 90.00
_space_group_name_H-M_alt 'P 4/m b m'
_space_group_IT_number 127
_space_group_name_Hall '-P 4 2ab'
loop_
_atom_site_label
_atom_site_type_symbol
_atom_site_fract_x
_atom_site_fract_y
_atom_site_fract_z
Rb1 Rb 0.0000 0.0000 0.0000
Ca1 Ca 0.1826 0.3174 0.5000
Os1 Os 0.0919 0.5919 0.0000
```



The following is a DFT calculation (PBE) of a relaxed structure of Tb2PmSm7.

- Density: 6.17 Mg/m³
- Energy above the most stable polymorph in this dataset: 0.6111 eV per atom
- Fermi-level density of states: 1.475 states/eV per atom
- Energy of formation: 658 meV/atom
- Size of the total moment: 0.000 μB/atom

Geometry as CIF:
```
data_Tb2PmSm7
_chemical_formula_sum 'Tb4 Pm2 Sm14'
_cell_length_a 8.8505
_cell_length_b 16.2563
_cell_length_c 5.6706
_cell_angle_alpha 90.00
_cell_angle_beta 90.00
_cell_angle_gamma 90.00
_space_group_name_H-M_alt 'C m m m'
_space_group_IT_number 65
_space_group_name_Hall '-C 2 2'
loop_
_atom_site_label
_atom_site_type_symbol
_atom_site_fract_x
_atom_site_fract_y
_atom_site_fract_z
Tb1 Tb 0.0000 0.2040 0.0000
Pm1 Pm 0.0000 0.5000 0.5000
Sm1 Sm 0.0000 0.0000 0.0000
Sm2 Sm 0.0000 0.2778 0.5000
Sm3 Sm 0.1784 0.3851 0.0000
```



The following is a DFT calculation (PBE) of a relaxed structure of B4C.

- Density: 2.11 Mg/m³
- Energy above the most stable polymorph in this dataset: 0.3883 eV per atom
- Energy of formation: 286 meV/atom
- Size of the total moment: 0.000 μB/atom

Geometry as CIF:
```
data_B4C
_chemical_formula_sum 'B4 C1'
_cell_length_a 2.8078
_cell_length_b 2.8078
_cell_length_c 6.3608
_cell_angle_alpha 90.00
_cell_angle_beta 90.00
_cell_angle_gamma 120.00
_space_group_name_H-M_alt 'P 3 m 1'
_space_group_IT_number 156
loop_
_space_group_symop_operation_xyz
'x,y,z'
'-y,x-y,z'
'-x+y,-x,z'
'-y,-x,z'
'-x+y,y,z'
'x,x-y,z'
loop_
_atom_site_label
_atom_site_type_symbol
_atom_site_fract_x
_atom_site_fract_y
_atom_site_fract_z
B1 B 0.0000 0.0000 0.0000
B2 B 0.0000 0.0000 0.4268
B3 B 0.3333 0.6667 0.4293
B4 B 0.6667 0.3333 0.2788
C1 C 0.6667 0.3333 0.0248
```



The following is a DFT calculation (PBE) of a relaxed structure of La4Pm3Ga.

- Density: 6.65 Mg/m³
- Fermi-level density of states: 1.726 states/eV per atom
- Energy of formation: -48 meV/atom
- Size of the total moment: 0.000 μB/atom

Geometry as CIF:
```
data_La4Pm3Ga
_chemical_formula_sum 'La4 Pm3 Ga1'
_cell_length_a 4.1899
_cell_length_b 4.1899
_cell_length_c 15.0905
_cell_angle_alpha 90.00
_cell_angle_beta 90.00
_cell_angle_gamma 90.00
_space_group_name_H-M_alt 'P 4/m m m'
_space_group_IT_number 123
_space_group_name_Hall '-P 4 2'
loop_
_atom_site_label
_atom_site_type_symbol
_atom_site_fract_x
_atom_site_fract_y
_atom_site_fract_z
La1 La 0.0000 0.0000 0.1028
La2 La 0.0000 0.0000 0.3766
Pm1 Pm 0.5000 0.5000 0.2427
Pm2 Pm 0.5000 0.5000 0.5000
Ga1 Ga 0.5000 0.5000 0.0000
```



The following is a DFT calculation (PBE) of a relaxed structure of CsNd2ReO8.

- Density: 6.32 Mg/m³
- E_form (uncorrected): -2.163 eV per atom
- Size of the total moment: 0.000 μB/atom

Geometry as CIF:
```
data_CsNd2ReO8
_chemical_formula_sum 'Cs2 Nd4 Re2 O16'
_cell_length_a 6.8199
_cell_length_b 7.0158
_cell_length_c 8.1199
_cell_angle_alpha 90.00
_cell_angle_beta 96.19
_cell_angle_gamma 90.00
_space_group_name_H-M_alt 'C 1 2/m 1'
_space_group_IT_number 12
loop_
_space_group_symop_operation_xyz
'x,y,z'
'-x,-y,-z'
'-x,y,-z'
'x,-y,z'
'x+1/2,y+1/2,z'
'-x+1/2,-y+1/2,-z'
'-x+1/2,y+1/2,-z'
'x+1/2,-y+1/2,z'
loop_
_atom_site_label
_atom_site_type_symbol
_atom_site_fract_x
_atom_site_fract_y
_atom_site_fract_z
Cs1 Cs 0.0000 0.0000 0.0000
Nd1 Nd 0.0505 0.5000 0.2865
Re1 Re 0.0000 0.0000 0.5000
O1 O 0.0667 0.1857 0.6683
O2 O 0.1101 0.5000 0.0016
O3 O 0.2326 0.5000 0.5484
```



The following is a DFT calculation (PBE) of a relaxed structure of RbNp2FeS4.

- Density: 6.69 Mg/m³
- E_form (uncorrected): -1.210 eV per atom
- Fermi-level density of states: 1.992 states/eV per atom
- Size of the total moment: 0.625 μB/atom

Geometry as CIF:
```
data_RbNp2FeS4
_chemical_formula_sum 'Rb4 Np8 Fe4 S16'
_cell_length_a 3.9084
_cell_length_b 13.9863
_cell_length_c 13.5023
_cell_angle_alpha 90.00
_cell_angle_beta 90.00
_cell_angle_gamma 90.00
_space_group_name_H-M_alt 'C m c m'
_space_group_IT_number 63
_space_group_name_Hall '-C 2c 2'
loop_
_atom_site_label
_atom_site_type_symbol
_atom_site_fract_x
_atom_site_fract_y
_atom_site_fract_z
Rb1 Rb 0.0000 0.1017 0.2500
Np1 Np 0.0000 0.3656 0.0578
Fe1 Fe 0.0000 0.1701 0.7500
S1 S 0.0000 0.0000 0.0000
S2 S 0.0000 0.2601 0.6106
S3 S 0.0000 0.4208 0.2500
```



The following is a DFT calculation (PBE) of a relaxed structure of RbTeF6.

- Density: 3.54 Mg/m³
- Energy above the most stable polymorph in this dataset: 0.0260 eV per atom
- E_form (uncorrected): -2.248 eV per atom
- Fermi-level density of states: 0.400 states/eV per atom
- Size of the total moment: 0.092 μB/atom

Geometry as CIF:
```
data_RbTeF6
_chemical_formula_sum 'Rb3 Te3 F18'
_cell_length_a 5.7446
_cell_length_b 5.7446
_cell_length_c 16.1264
_cell_angle_alpha 90.00
_cell_angle_beta 90.00
_cell_angle_gamma 120.00
_space_group_name_H-M_alt 'R -3 m'
_space_group_IT_number 166
_space_group_name_Hall '-R 3 2"'
loop_
_atom_site_label
_atom_site_type_symbol
_atom_site_fract_x
_atom_site_fract_y
_atom_site_fract_z
Rb1 Rb 0.0000 0.0000 0.0000
Te1 Te 0.0000 0.0000 0.5000
F1 F 0.0108 0.5054 0.0948
```



The following is a DFT calculation (PBE) of a relaxed structure of Na2AlRh2Se6.

- Density: 4.98 Mg/m³
- E_form (uncorrected): -0.704 eV per atom
- Fermi-level density of states: 0.815 states/eV per atom
- Size of the total moment: 0.000 μB/atom

Geometry as CIF:
```
data_Na2AlRh2Se6
_chemical_formula_sum 'Na4 Al2 Rh4 Se12'
_cell_length_a 6.3613
_cell_length_b 11.1118
_cell_length_c 7.4265
_cell_angle_alpha 90.00
_cell_angle_beta 107.20
_cell_angle_gamma 90.00
_space_group_name_H-M_alt 'C 1 2/m 1'
_space_group_IT_number 12
loop_
_space_group_symop_operation_xyz
'x,y,z'
'-x,-y,-z'
'-x,y,-z'
'x,-y,z'
'x+1/2,y+1/2,z'
'-x+1/2,-y+1/2,-z'
'-x+1/2,y+1/2,-z'
'x+1/2,-y+1/2,z'
loop_
_atom_site_label
_atom_site_type_symbol
_atom_site_fract_x
_atom_site_fract_y
_atom_site_fract_z
Na1 Na 0.0000 0.1665 0.0000
Al1 Al 0.0000 0.0000 0.5000
Rh1 Rh 0.0000 0.3327 0.5000
Se1 Se 0.2294 0.5000 0.6931
Se2 Se 0.2364 0.1709 0.6942
```



The following is a DFT calculation (PBE) of a relaxed structure of Ca3As5S12.

- Density: 3.11 Mg/m³
- E_form (uncorrected): -0.582 eV per atom
- Fermi-level density of states: 0.196 states/eV per atom
- Size of the total moment: 0.000 μB/atom

Geometry as CIF:
```
data_Ca3As5S12
_chemical_formula_sum 'Ca24 As40 S96'
_cell_length_a 15.5499
_cell_length_b 15.5499
_cell_length_c 15.5499
_cell_angle_alpha 90.00
_cell_angle_beta 90.00
_cell_angle_gamma 90.00
_space_group_name_H-M_alt 'I a -3 d'
_space_group_IT_number 230
_space_group_name_Hall '-I 4bd 2c 3'
loop_
_atom_site_label
_atom_site_type_symbol
_atom_site_fract_x
_atom_site_fract_y
_atom_site_fract_z
Ca1 Ca 0.0000 0.2500 0.1250
As1 As 0.0000 0.0000 0.0000
As2 As 0.0000 0.2500 0.3750
S1 S 0.0264 0.0559 0.6513
```



The following is a DFT calculation (PBE) of a relaxed structure of Li2PmPPd2.

- Density: 6.14 Mg/m³
- Fermi-level density of states: 0.174 states/eV per atom
- Energy of formation: -478 meV/atom
- Size of the total moment: 0.000 μB/atom

Geometry as CIF:
```
data_Li2PmPPd2
_chemical_formula_sum 'Li2 Pm1 P1 Pd2'
_cell_length_a 4.3879
_cell_length_b 4.3879
_cell_length_c 5.6533
_cell_angle_alpha 90.00
_cell_angle_beta 90.00
_cell_angle_gamma 90.00
_space_group_name_H-M_alt 'P 4/m m m'
_space_group_IT_number 123
_space_group_name_Hall '-P 4 2'
loop_
_atom_site_label
_atom_site_type_symbol
_atom_site_fract_x
_atom_site_fract_y
_atom_site_fract_z
Li1 Li 0.0000 0.5000 0.0000
Pm1 Pm 0.0000 0.0000 0.5000
P1 P 0.0000 0.0000 0.0000
Pd1 Pd 0.5000 0.5000 0.2645
```